# 1
The following is a DFT calculation (PBE) of a geometry-optimized MnBe2W structure.

Magnetic moment: 0.00 μB/atom
D(E_F): 2.9 states/eV per cell
Space-group type: I-42d
ΔH_f (0 K): 589 meV/atom
Polymorph energy (0 for the lowest one): 0.631 eV/atom

Cell: 8.702 8.702 8.702 Å, 157.39 157.39 32.19°
Sites, in units of the cell vectors:
Mn: 0.000 0.000 0.000
Mn: 0.750 0.250 0.500
Be: 0.097 0.625 0.972
Be: 0.375 0.347 0.472
Be: 0.653 0.125 0.028
Be: 0.875 0.903 0.528
W: 0.250 0.750 0.500
W: 0.500 0.500 0.000


# 2
The following is a DFT calculation (PBE) of a geometry-optimized Pm2SnPt3 structure.

Magnetic moment: 0.00 μB/atom
D(E_F): 11.4 states/eV per cell
Space-group type: P6_3/mmc
ΔH_f (0 K): -946 meV/atom
Polymorph energy (0 for the lowest one): 0.000 eV/atom

Cell: 4.548 4.548 15.434 Å, 90.00 90.00 120.00°
Sites, in units of the cell vectors:
Pm: 0.000 0.000 0.121
Pm: 0.000 0.000 0.379
Pm: 0.000 0.000 0.621
Pm: 0.000 0.000 0.879
Sn: 0.333 0.667 0.250
Sn: 0.667 0.333 0.750
Pt: 0.333 0.667 0.001
Pt: 0.333 0.667 0.499
Pt: 0.333 0.667 0.750
Pt: 0.667 0.333 0.250
Pt: 0.667 0.333 0.501
Pt: 0.667 0.333 0.999


# 3
The following is a DFT calculation (PBE) of a geometry-optimized ZrMnAs2 structure.

Magnetic moment: 0.81 μB/atom
D(E_F): 2.1 states/eV per cell
Space-group type: P2/m
ΔH_f (0 K): -399 meV/atom

Cell: 3.447 3.679 5.966 Å, 90.00 91.07 90.00°
Sites, in units of the cell vectors:
Zr: 0.000 0.000 0.000
Mn: 0.500 0.000 0.500
As: 0.491 0.500 0.769
As: 0.509 0.500 0.231


# 4
The following is a DFT calculation (PBE) of a geometry-optimized Tb2PrGa6 structure.

Magnetic moment: 0.00 μB/atom
D(E_F): 4.1 states/eV per cell
Space-group type: Immm
ΔH_f (0 K): -487 meV/atom
Polymorph energy (0 for the lowest one): 0.172 eV/atom

Cell: 7.836 7.836 7.836 Å, 147.63 125.58 64.76°
Sites, in units of the cell vectors:
Tb: 0.128 0.128 0.000
Tb: 0.872 0.872 0.000
Pr: 0.500 0.000 0.500
Ga: 0.122 0.317 0.806
Ga: 0.182 0.500 0.682
Ga: 0.489 0.683 0.806
Ga: 0.511 0.317 0.194
Ga: 0.818 0.500 0.318
Ga: 0.878 0.683 0.194


# 5
The following is a DFT calculation (PBE) of a geometry-optimized LiPrZnAg3 structure.

Magnetic moment: 0.00 μB/atom
D(E_F): 5.3 states/eV per cell
Space-group type: Cmcm
ΔH_f (0 K): -111 meV/atom

Cell: 7.223 7.223 6.019 Å, 90.00 90.00 129.20°
Sites, in units of the cell vectors:
Li: 0.077 0.923 0.750
Li: 0.923 0.077 0.250
Pr: 0.298 0.702 0.750
Pr: 0.702 0.298 0.250
Zn: 0.356 0.644 0.250
Zn: 0.644 0.356 0.750
Ag: 0.149 0.851 0.250
Ag: 0.277 0.277 0.000
Ag: 0.277 0.277 0.500
Ag: 0.723 0.723 0.000
Ag: 0.723 0.723 0.500
Ag: 0.851 0.149 0.750